LaZnBr2: relaxed, PBE.

extended XYZ file:
```
4
Lattice="-3.578 -3.968 -0.545 1.357 -5.035 1.286 -2.117 -2.323 4.355" Properties=species:S:1:pos:R:3 pbc="T T T"
La -2.169 -5.663 2.548
Zn -3.254 -8.495 3.822
Br -1.085 -2.832 1.274
Br 0.000 0.000 0.000
```

Calculated values
- SG = F-43m (216)
- total DFT energy (no corrections) (eV per atom) = -3.11
- uncorrected formation energy (meV/atom) = -722
- offset from the most stable computed form (meV/atom) = 377